Entry 1:
CaGdInNi | PBE | relaxed

Unit cell a=5.1556 b=5.1556 c=5.1556 alpha=60.00 beta=60.00 gamma=60.00
Positions (direct):
Ca: 0.0000 0.0000 0.0000
Gd: 0.5000 0.5000 0.5000
In: 0.7500 0.7500 0.7500
Ni: 0.2500 0.2500 0.2500

Properties
- space-group type = F-43m

***

Entry 2:
CaGdInPb | PBE | relaxed

Unit cell a=5.4699 b=5.4699 c=5.4699 alpha=60.00 beta=60.00 gamma=60.00
Positions (direct):
Ca: 0.0000 0.0000 0.0000
Gd: 0.5000 0.5000 0.5000
In: 0.7500 0.7500 0.7500
Pb: 0.2500 0.2500 0.2500

Properties
- space-group type = F-43m

***

Entry 3:
CaGdInPd | PBE | relaxed

Unit cell a=5.2027 b=5.2027 c=5.2027 alpha=60.00 beta=60.00 gamma=60.00
Positions (direct):
Ca: 0.0000 0.0000 0.0000
Gd: 0.5000 0.5000 0.5000
In: 0.2500 0.2500 0.2500
Pd: 0.7500 0.7500 0.7500

Properties
- space-group type = F-43m

***

Entry 4:
CaPmGdIn | PBE | relaxed

Unit cell a=5.5641 b=5.5641 c=5.5641 alpha=60.00 beta=60.00 gamma=60.00
Positions (direct):
Ca: 0.0000 0.0000 0.0000
Pm: 0.2500 0.2500 0.2500
Gd: 0.7500 0.7500 0.7500
In: 0.5000 0.5000 0.5000

Properties
- space-group type = F-43m

***

Entry 5:
CaGdInPt | PBE | relaxed

Unit cell a=5.1639 b=5.1639 c=5.1639 alpha=60.00 beta=60.00 gamma=60.00
Positions (direct):
Ca: 0.0000 0.0000 0.0000
Gd: 0.5000 0.5000 0.5000
In: 0.7500 0.7500 0.7500
Pt: 0.2500 0.2500 0.2500

Properties
- space-group type = F-43m

***

Entry 6:
CaGdScIn | PBE | relaxed

Unit cell a=5.3822 b=5.3822 c=5.3822 alpha=60.00 beta=60.00 gamma=60.00
Positions (direct):
Ca: 0.0000 0.0000 0.0000
Gd: 0.7500 0.7500 0.7500
Sc: 0.2500 0.2500 0.2500
In: 0.5000 0.5000 0.5000

Properties
- space-group type = F-43m

***

Entry 7:
CaGdInSn | PBE | relaxed

Unit cell a=5.4094 b=5.4094 c=5.4094 alpha=60.00 beta=60.00 gamma=60.00
Positions (direct):
Ca: 0.0000 0.0000 0.0000
Gd: 0.5000 0.5000 0.5000
In: 0.2500 0.2500 0.2500
Sn: 0.7500 0.7500 0.7500

Properties
- space-group type = F-43m

***

Entry 8:
SrCaGdIn | PBE | relaxed

Unit cell a=5.7536 b=5.7536 c=5.7536 alpha=60.00 beta=60.00 gamma=60.00
Positions (direct):
Sr: 0.0000 0.0000 0.0000
Ca: 0.7500 0.7500 0.7500
Gd: 0.5000 0.5000 0.5000
In: 0.2500 0.2500 0.2500

Properties
- space-group type = F-43m

***

What total energy values result from the calculations? In sequence: -6.373 -6.091 -6.554 -6.064 -6.894 -6.404 -6.237 -5.247 eV per atom.